w) Tl2SnGe2 | PBE-GGA | relaxed

Its crystal system is tetragonal. The value obtained for the size of the total moment is 0.0 μB per cell.

Cell lengths 7.336, 7.336, 5.002 Å; angles 90.00, 90.00, 90.00 degrees
Atoms (fractional coordinates):
1 Tl 0.320 0.180 0.500
2 Tl 0.820 0.320 0.500
3 Tl 0.180 0.680 0.500
4 Tl 0.680 0.820 0.500
5 Ge 0.875 0.625 0.000
6 Ge 0.375 0.875 0.000
7 Ge 0.625 0.125 0.000
8 Ge 0.125 0.375 0.000
9 Sn 0.500 0.500 0.000
10 Sn 0.000 0.000 0.000

---

x) Tl2SnGe2 | PBE-GGA | relaxed

Its crystal system is tetragonal. The value obtained for the size of the total moment is 0.0 μB per cell.

Cell lengths 3.776, 3.776, 9.789 Å; angles 78.88, 78.88, 90.00 degrees
Atoms (fractional coordinates):
1 Tl 0.610 0.610 0.781
2 Tl 0.390 0.390 0.219
3 Sn 0.000 0.000 0.000
4 Ge 0.750 0.250 0.500
5 Ge 0.250 0.750 0.500

---

y) Tl2SnGe2 | PBE-GGA | relaxed

Its crystal system is tetragonal. The value obtained for the size of the total moment is 0.0 μB per cell.

Cell lengths 4.482, 4.482, 7.578 Å; angles 72.80, 72.80, 90.00 degrees
Atoms (fractional coordinates):
1 Tl 0.750 0.250 0.500
2 Tl 0.250 0.750 0.500
3 Ge 0.410 0.410 0.179
4 Ge 0.590 0.590 0.821
5 Sn 0.000 0.000 0.000

---

Stability ranking, top and bottom: w) is the most stable and y) is the least stable.

---

w) Tl3SnGe | PBE-GGA | relaxed

Its crystal system is cubic. The value obtained for the size of the total moment is 0.0 μB per cell.

Cell lengths 5.489, 5.489, 5.489 Å; angles 90.00, 90.00, 90.00 degrees
Atoms (fractional coordinates):
1 Ge 0.000 0.000 0.000
2 Tl 0.500 0.000 0.000
3 Tl 0.000 0.500 0.000
4 Tl 0.000 0.000 0.500
5 Sn 0.500 0.500 0.500

---

x) Tl3SnGe | PBE-GGA | relaxed

Its crystal system is cubic. The value obtained for the size of the total moment is 1.2 μB per cell.

Cell lengths 5.792, 5.792, 5.792 Å; angles 90.00, 90.00, 90.00 degrees
Last column: magnetic moment on the atom in μB.
Atoms (fractional coordinates):
1 Tl 0.000 0.000 0.500  0.02
2 Tl 0.000 0.500 0.000  0.01
3 Tl 0.500 0.000 0.000  0.01
4 Ge 0.500 0.500 0.500  0.37
5 Sn 0.000 0.000 0.000  0.04

---

Stability ranking, top and bottom: w) is the most stable and x) is the least stable.

---

w) TlSn2Ge2 | PBE-GGA | relaxed

Its crystal system is tetragonal. The value obtained for the size of the total moment is 0.0 μB per cell.

Cell lengths 5.213, 5.213, 6.166 Å; angles 64.99, 64.99, 90.00 degrees
Atoms (fractional coordinates):
1 Ge 0.629 0.629 0.743
2 Ge 0.371 0.371 0.257
3 Tl 0.000 0.000 0.000
4 Sn 0.750 0.250 0.500
5 Sn 0.250 0.750 0.500

---

x) TlSn2Ge2 | PBE-GGA | relaxed

Its crystal system is tetragonal. The value obtained for the size of the total moment is 0.0 μB per cell.

Cell lengths 8.518, 8.518, 3.511 Å; angles 90.00, 90.00, 90.00 degrees
Atoms (fractional coordinates):
1 Ge 0.636 0.136 0.000
2 Ge 0.364 0.864 0.000
3 Ge 0.136 0.364 0.000
4 Ge 0.864 0.636 0.000
5 Sn 0.650 0.850 0.500
6 Sn 0.350 0.150 0.500
7 Sn 0.150 0.650 0.500
8 Sn 0.850 0.350 0.500
9 Tl 0.500 0.500 0.000
10 Tl 0.000 0.000 0.000

---

Stability ranking, top and bottom: w) is the most stable and x) is the least stable.